No. 1
A plane-wave DFT calculation with GGA-PBE was carried out for a relaxed structure of Y2ScTa.

Geometry as POSCAR:
```
Y2ScTa
1.0
-3.577 -3.426 1.776
-0.075 -1.323 5.092
-3.922 1.657 3.092
Sc Y Ta
1 2 1
Direct
0.000 0.000 0.000
0.250 0.250 0.250
0.750 0.750 0.750
0.500 0.500 0.500
```

=====

No. 2
A plane-wave DFT calculation with GGA-PBE was carried out for a relaxed structure of YScTa2.

Geometry as POSCAR:
```
YScTa2
1.0
-4.904 -3.098 0.886
0.698 -5.826 0.026
1.496 5.058 2.572
Ta Sc Y
2 1 1
Direct
0.025 0.025 0.000
0.222 0.722 0.500
0.767 0.267 0.500
0.486 0.486 0.000
```

=====

No. 3
A plane-wave DFT calculation with GGA-PBE was carried out for a relaxed structure of YScTa2.

Geometry as POSCAR:
```
YScTa2
1.0
3.636 0.000 0.000
0.000 3.636 0.000
0.000 0.000 6.766
Sc Y Ta
1 1 2
Direct
0.500 0.500 0.750
0.500 0.500 0.250
0.000 0.000 0.550
0.000 0.000 0.950
```

=====

Number 1: excess energy over the best structure of this formula in the dataset 179 meV/atom, V 103 Å³/cell. Number 2: excess energy over the best structure of this formula in the dataset 181 meV/atom, V 90 Å³/cell. Number 3: excess energy over the best structure of this formula in the dataset 287 meV/atom, V 89 Å³/cell.